[1]
{
  "formula": "Sc2AgPt",
  "functional": "PBE",
  "state": "relaxed",
  "cell": [[9.1317, -0.1528, -0.0899], [8.5786, 3.1337, -0.0899], [8.5786, 1.4439, 2.7827]],
  "species": ["Pt", "Ag", "Sc", "Sc"],
  "fractional_positions": [[0.7468, 0.7468, 0.7468], [0.4946, 0.4946, 0.4946], [0.0156, 0.0156, 0.0156], [0.2430, 0.2430, 0.2430]],
  "crystal_system": "trigonal",
  "ef_ev_per_atom": -0.22,
  "mass_density_g_cm3": 7.60,
  "space_group": "No. 160",
  "dos_ef_per_ev_atom": 0.696,
  "magmom_total_mub_per_atom": 0.193
}

[2]
{
  "formula": "BaGaSn",
  "functional": "PBE",
  "state": "relaxed",
  "cell": [[-5.1082, -0.0274, 1.1546], [-3.4534, -1.9038, -3.4463], [-2.4412, -4.5307, 0.9698]],
  "species": ["Ba", "Sn", "Ga"],
  "fractional_positions": [[0.0000, 0.0000, 0.0000], [0.5000, 0.5000, 0.5000], [0.2500, 0.2500, 0.2500]],
  "crystal_system": "cubic",
  "ef_ev_per_atom": -0.36,
  "mass_density_g_cm3": 5.33,
  "space_group": "No. 216",
  "dos_ef_per_ev_atom": 0.748,
  "magmom_total_mub_per_atom": 0.000
}

[3]
{
  "formula": "MnBiPbSe4",
  "functional": "PBE",
  "state": "relaxed",
  "cell": [[7.4214, 0.0000, 0.2369], [0.0000, 6.0334, 0.0000], [-2.6179, 0.0000, 8.3785]],
  "species": ["Se", "Se", "Se", "Se", "Se", "Se", "Se", "Se", "Bi", "Bi", "Mn", "Mn", "Pb", "Pb"],
  "fractional_positions": [[0.9611, 0.4862, 0.2377], [0.0389, 0.5138, 0.7623], [0.5789, 0.2500, 0.4133], [0.0389, 0.9862, 0.7623], [0.4299, 0.7500, 0.1224], [0.9611, 0.0138, 0.2377], [0.5701, 0.2500, 0.8776], [0.4211, 0.7500, 0.5867], [0.2973, 0.2500, 0.5950], [0.7027, 0.7500, 0.4050], [0.7779, 0.2500, 0.6918], [0.2221, 0.7500, 0.3082], [0.2510, 0.2500, 0.0541], [0.7490, 0.7500, 0.9459]],
  "crystal_system": "monoclinic",
  "e_tot_ev_per_atom": -4.71,
  "mass_density_g_cm3": 6.90,
  "space_group": "No. 11",
  "dos_ef_per_ev_atom": 0.158,
  "magmom_total_mub_per_atom": 0.688
}

[4]
{
  "formula": "Pr2ZnGa3Ir4",
  "functional": "PBE",
  "state": "relaxed",
  "cell": [[4.2808, 0.0000, 0.0000], [0.0000, 4.2808, 0.0000], [0.0000, 0.0000, 10.3657]],
  "species": ["Ga", "Ga", "Ga", "Ir", "Ir", "Ir", "Ir", "Pr", "Pr", "Zn"],
  "fractional_positions": [[0.5000, 0.0000, 0.8744], [0.0000, 0.0000, 0.5000], [0.0000, 0.5000, 0.1257], [0.5000, 0.0000, 0.6342], [0.0000, 0.5000, 0.3658], [0.5000, 0.5000, 0.0000], [0.0000, 0.0000, 0.0000], [0.5000, 0.0000, 0.2423], [0.0000, 0.5000, 0.7577], [0.5000, 0.5000, 0.5000]],
  "crystal_system": "tetragonal",
  "ef_ev_per_atom": -0.65,
  "mass_density_g_cm3": 11.59,
  "space_group": "No. 115",
  "dos_ef_per_ev_atom": 0.564,
  "magmom_total_mub_per_atom": 0.000
}

[5]
{
  "formula": "Pm6Sm2Ho",
  "functional": "PBE",
  "state": "relaxed",
  "cell": [[3.6547, -0.0004, 0.0006], [0.0005, 9.1727, 4.1823], [-0.0013, 1.6790, 9.9403]],
  "species": ["Pm", "Pm", "Pm", "Pm", "Pm", "Pm", "Ho", "Sm", "Sm"],
  "fractional_positions": [[0.5000, 0.3159, 0.6841], [0.5000, 0.6841, 0.3159], [0.0000, 0.4882, 0.8398], [0.0000, 0.8398, 0.4882], [0.0000, 0.1602, 0.5118], [0.0000, 0.5118, 0.1602], [0.0000, 0.0000, 0.0000], [0.5000, 0.1777, 0.1777], [0.5000, 0.8223, 0.8223]],
  "crystal_system": "orthorhombic",
  "de_polymorph_ev_per_fu": 0.17,
  "ef_ev_per_atom": 0.13,
  "mass_density_g_cm3": 7.21,
  "space_group": "No. 65",
  "dos_ef_per_ev_atom": 1.444,
  "magmom_total_mub_per_atom": 0.000
}

[6]
{
  "formula": "PmGe4",
  "functional": "PBE",
  "state": "relaxed",
  "cell": [[-1.0420, 4.9412, -2.0308], [-2.9426, 1.1960, 4.4199], [4.4587, 1.9441, 2.4424]],
  "species": ["Ge", "Ge", "Ge", "Ge", "Pm"],
  "fractional_positions": [[0.5000, 0.0000, 0.5000], [0.0000, 0.5000, 0.5000], [0.5000, 0.5000, 0.0000], [0.0000, 0.0000, 0.0000], [0.5000, 0.5000, 0.5000]],
  "crystal_system": "cubic",
  "ef_ev_per_atom": 0.95,
  "mass_density_g_cm3": 4.49,
  "space_group": "No. 221",
  "dos_ef_per_ev_atom": 0.946,
  "magmom_total_mub_per_atom": 0.000
}